(1)
VASP calculation (PBE-GGA) on a geometry-optimized K4Np3AuS8 structure.

Unit cell a=7.999 b=8.713 c=8.154 alpha=117.89 beta=119.38 gamma=90.00
Last column: magnetic moment on the atom in μB.
Fractional coordinates of all 16 atoms:
K 0.000 0.000 0.000  0.00
K 0.500 0.000 0.000  0.00
K 0.000 0.000 0.500  0.00
K 0.500 0.000 0.500  0.00
Np 0.500 0.500 0.500  3.54
Np 0.000 0.500 0.500  3.54
Np 0.500 0.500 0.000  3.57
S 0.268 0.299 0.536  -0.09
S 0.250 0.708 0.500  -0.10
S 0.232 0.696 0.957  -0.10
S 0.768 0.304 0.043  -0.10
S 0.725 0.696 0.957  -0.10
S 0.275 0.304 0.043  -0.10
S 0.750 0.292 0.500  -0.10
S 0.732 0.701 0.464  -0.09
Au 0.000 0.500 0.000  -0.09

Results
- VASP energy: -6.147 eV/atom
- ΔE_f (raw): -114 kJ per mole of atoms
- D(E_F): 30.38 states/eV/cell



(2)
VASP calculation (PBE-GGA) on a geometry-optimized CaLa3Tl structure.

Unit cell a=5.820 b=5.820 c=5.820 alpha=90.00 beta=90.00 gamma=90.00
Fractional coordinates of all 5 atoms:
Tl 0.500 0.500 0.500
La 0.000 0.500 0.000
La 0.500 0.000 0.000
La 0.000 0.000 0.500
Ca 0.000 0.000 0.000

Results
- VASP energy: -3.136 eV/atom
- Excess energy over the best structure of this formula in the dataset: 458 meV/atom
- Energy relative to the elements: 0.694 eV/atom
- D(E_F): 7.34 states/eV/cell



(3)
VASP calculation (PBE-GGA) on a geometry-optimized ZrSc2AuC structure.

Unit cell a=4.458 b=4.458 c=4.572 alpha=90.00 beta=90.00 gamma=90.00
Fractional coordinates of all 5 atoms:
Zr 0.000 0.000 0.500
Au 0.500 0.500 0.500
Sc 0.500 0.000 0.000
Sc 0.000 0.500 0.000
C 0.000 0.000 0.000

Results
- VASP energy: -7.327 eV/atom
- Energy relative to the elements: -0.585 eV/atom
- D(E_F): 6.23 states/eV/cell



(4)
VASP calculation (PBE-GGA) on a geometry-optimized CeNd12Sm2 structure.

Unit cell a=6.865 b=6.865 c=25.148 alpha=90.00 beta=90.00 gamma=63.27
Last column: magnetic moment on the atom in μB.
Fractional coordinates of all 30 atoms:
Sm 0.000 0.500 0.728  0.01
Sm 0.000 0.500 0.266  0.00
Sm 0.500 0.000 0.272  0.01
Sm 0.500 0.000 0.734  0.00
Nd 0.230 0.270 0.417  0.00
Nd 0.774 0.274 0.560  0.00
Nd 0.226 0.726 0.560  0.00
Nd 0.770 0.730 0.417  0.00
Nd 0.252 0.248 0.127  0.02
Nd 0.247 0.747 0.072  0.05
Nd 0.000 0.000 0.675  0.01
Nd 0.248 0.252 0.873  0.02
Nd 0.747 0.247 0.928  0.05
Nd 0.500 0.500 0.675  0.01
Nd 0.000 0.000 0.198  -0.01
Nd 0.752 0.748 0.873  0.02
Nd 0.730 0.770 0.583  0.00
Nd 0.500 0.500 0.802  -0.01
Nd 0.753 0.253 0.072  0.05
Nd 0.270 0.230 0.583  0.00
Nd 0.726 0.226 0.440  0.00
Nd 0.274 0.774 0.440  0.00
Nd 0.000 0.000 0.325  0.01
Nd 0.253 0.753 0.928  0.05
Nd 0.000 0.000 0.802  -0.01
Nd 0.500 0.500 0.325  0.01
Nd 0.748 0.752 0.127  0.02
Nd 0.500 0.500 0.198  -0.01
Ce 0.000 0.500 0.999  0.92
Ce 0.500 0.000 0.001  0.92

Results
- VASP energy: -4.674 eV/atom
- Energy relative to the elements: 0.165 eV/atom
- D(E_F): 50.69 states/eV/cell